PbAuCl2 | Alexandria | PBE | relaxed; V = 106.5 Å³/f.u.; energy above the most stable polymorph in this dataset = 22.3 kJ per mole of atoms; DOS(E_F) = 2.21 states/eV/cell
1.0
3.433 0.000 0.000
0.000 4.257 0.000
-1.274 0.000 7.286
Pb Au Cl
1 1 2
Cartesian
0.000 0.000 0.000
-0.637 0.000 3.643
-0.183 2.128 2.007
2.341 2.128 5.279

---

PbAuCl2 | Alexandria | PBE | relaxed; V = 95.4 Å³/f.u.; energy above the most stable polymorph in this dataset = 26.1 kJ per mole of atoms; DOS(E_F) = 3.31 states/eV/cell
1.0
4.800 0.000 0.000
0.000 4.800 0.000
0.000 0.000 4.141
Pb Au Cl
1 1 2
Cartesian
0.000 0.000 0.000
2.400 2.400 0.000
0.000 2.400 2.070
2.400 0.000 2.070

---

PbAuCl2 | Alexandria | PBE | relaxed; V = 96.5 Å³/f.u.; energy above the most stable polymorph in this dataset = 23.2 kJ per mole of atoms; DOS(E_F) = 2.46 states/eV/cell
1.0
3.988 0.000 0.000
0.000 4.330 0.000
0.000 0.000 5.589
Pb Au Cl
1 1 2
Cartesian
0.000 0.000 0.000
1.994 0.000 2.795
0.000 2.165 2.795
1.994 2.165 0.000

---

PbAuCl2 | Alexandria | PBE | relaxed; V = 107.8 Å³/f.u.; energy above the most stable polymorph in this dataset = 9.8 kJ per mole of atoms; DOS(E_F) = 0.91 states/eV/cell
1.0
1.829 1.056 9.296
-1.829 1.056 9.296
0.000 -2.112 9.296
Pb Au Cl
1 1 2
Cartesian
0.000 0.000 0.000
0.000 0.000 13.944
0.000 0.000 11.631
0.000 0.000 16.258

---

PbAu2Cl | Alexandria | PBE | relaxed; V = 91.3 Å³/f.u.; energy above the most stable polymorph in this dataset = 26.7 kJ per mole of atoms; DOS(E_F) = 2.38 states/eV/cell
1.0
0.000 3.574 3.574
3.574 0.000 3.574
3.574 3.574 0.000
Pb Au Cl
1 2 1
Cartesian
0.000 0.000 0.000
1.787 1.787 1.787
3.574 3.574 3.574
5.361 5.361 5.361

---

PbAuCl6 | Alexandria | PBE | relaxed; V = 252.2 Å³/f.u.; energy above the most stable polymorph in this dataset = 0.0 kJ per mole of atoms; DOS(E_F) = 2.95 states/eV/cell
1.0
3.992 -3.977 0.000
3.992 3.977 0.000
-0.969 0.000 7.942
Pb Au Cl
1 1 6
Cartesian
0.000 0.000 0.000
-0.485 0.000 3.971
2.924 2.326 5.499
4.091 2.326 2.442
1.660 0.000 7.836
5.355 0.000 0.105
2.924 -2.326 5.499
4.091 -2.326 2.442

---

PbAu2Cl | Alexandria | PBE | relaxed; V = 96.5 Å³/f.u.; energy above the most stable polymorph in this dataset = 25.3 kJ per mole of atoms; DOS(E_F) = 1.55 states/eV/cell
1.0
4.101 0.000 0.000
0.000 4.144 0.000
0.000 0.000 5.677
Pb Au Cl
1 2 1
Cartesian
0.000 0.000 0.000
2.050 2.072 1.394
2.050 2.072 4.284
0.000 0.000 2.839

---

PbAuCl2 | Alexandria | PBE | relaxed; V = 95.7 Å³/f.u.; energy above the most stable polymorph in this dataset = 18.9 kJ per mole of atoms; DOS(E_F) = 2.12 states/eV/cell
1.0
0.000 3.631 3.631
3.631 0.000 3.631
3.631 3.631 0.000
Pb Au Cl
1 1 2
Cartesian
0.000 0.000 0.000
3.631 3.631 3.631
1.815 1.815 1.815
5.446 5.446 5.446

---

PbAu2Cl | Alexandria | PBE | relaxed; V = 91.9 Å³/f.u.; energy above the most stable polymorph in this dataset = 11.3 kJ per mole of atoms; DOS(E_F) = 0.78 states/eV/cell
1.0
6.332 -1.633 0.000
6.332 1.633 0.000
-1.808 0.000 4.444
Pb Au Cl
1 2 1
Cartesian
0.000 0.000 0.000
1.925 0.000 3.379
8.930 0.000 1.065
5.428 0.000 2.222

---

Pb2AuCl | Alexandria | PBE | relaxed; V = 103.4 Å³/f.u.; energy above the most stable polymorph in this dataset = 4.5 kJ per mole of atoms; DOS(E_F) = 1.73 states/eV/cell
1.0
2.518 -2.521 0.000
2.518 2.521 0.000
0.000 0.000 8.145
Pb Au Cl
2 1 1
Cartesian
0.000 0.000 1.862
0.000 0.000 6.284
2.518 0.000 0.000
2.518 0.000 4.073

---

PbAuCl2 | Alexandria | PBE | relaxed; V = 97.4 Å³/f.u.; energy above the most stable polymorph in this dataset = 29.4 kJ per mole of atoms; DOS(E_F) = 2.85 states/eV/cell
1.0
3.791 0.000 0.000
0.000 3.791 0.000
0.000 0.000 6.776
Pb Au Cl
1 1 2
Cartesian
0.000 0.000 0.000
0.000 0.000 3.388
1.895 1.895 1.624
1.895 1.895 5.152

---

PbAu3Cl | Alexandria | PBE | relaxed; V = 155.9 Å³/f.u.; energy above the most stable polymorph in this dataset = 0.0 kJ per mole of atoms; DOS(E_F) = 7.23 states/eV/cell
1.0
5.382 0.000 0.000
0.000 5.382 0.000
0.000 0.000 5.382
Pb Au Cl
1 3 1
Cartesian
0.000 0.000 0.000
0.000 0.000 2.691
0.000 2.691 0.000
2.691 0.000 0.000
2.691 2.691 2.691

---

Pb2AuCl | Alexandria | PBE | relaxed; V = 101.0 Å³/f.u.; energy above the most stable polymorph in this dataset = 16.8 kJ per mole of atoms; DOS(E_F) = 2.93 states/eV/cell
1.0
0.000 3.696 3.696
3.696 0.000 3.696
3.696 3.696 0.000
Pb Au Cl
2 1 1
Cartesian
1.848 1.848 1.848
5.544 5.544 5.544
0.000 0.000 0.000
3.696 3.696 3.696